ZrCuAg2S4 after structural relaxation, computed with PBE.

ρ ... 5306 kg/m³
Crystal system ... monoclinic
Formation energy (no corrections) ... -0.508 eV/atom
Volume ... 19.51 A^3/atom
D(E_F) ... 12.68 states/eV per cell

Cell lengths 10.8234, 10.1289, 7.4618 Å; angles 90.00, 130.25, 90.00 degrees
Closest atoms and distances in Å follow each position.
Space group C2/c (No. 15)
One atom of each set of equivalent atoms:
Zr 0.0000 0.0000 0.0000 [4 per cell]  6 S 2.60-2.62
Cu 0.2500 0.2500 0.0000 [4 per cell]  4 S 2.36-2.40
Ag 0.0000 0.5000 0.0000 [4 per cell]  2 S 2.53
Ag 0.2500 0.2500 0.5000 [4 per cell]  4 S 2.58-2.70
S 0.0545 0.2546 0.0466 [8 per cell]  1 Cu 2.36, 2 Ag 2.53-2.58, 1 Zr 2.62
S 0.2179 0.0146 0.9541 [8 per cell]  1 Cu 2.40, 2 Zr 2.60